# 1
The following is a DFT calculation (PBE-GGA) of BaCrIr2 after structural relaxation.

Computed properties:
DOS at the Fermi energy: 1.41 states/eV per atom
ΔH_f (0 K): 555 meV per atom
Raw total energy: -27.05 eV/f.u.

Cell: 3.274 3.274 7.710 Å, 90.00 90.00 90.00°
Space group P4mm (No. 99)
Symmetry-distinct sites (fractional):
Ba: 0.000 0.000 0.000 x1
Cr: 0.500 0.500 0.369 x1
Ir: 0.000 0.000 0.494 x1
Ir: 0.500 0.500 0.702 x1



# 2
The following is a DFT calculation (PBE-GGA) of BaCrIr4 after structural relaxation.

Computed properties:
DOS at the Fermi energy: 1.81 states/eV per atom
ΔH_f (0 K): 363 meV per atom
Raw total energy: -44.81 eV/f.u.

Cell: 7.659 7.659 7.659 Å, 90.00 90.00 90.00°
Space group F-43m (No. 216)
Symmetry-distinct sites (fractional):
Ba: 0.000 0.000 0.000 x4
Cr: 0.250 0.250 0.750 x4
Ir: 0.124 0.124 0.376 x16